No. 1
A plane-wave DFT calculation with GGA-PBE was carried out for CrCoRe2 after structural relaxation.

The structure in POSCAR format:
```
CrCoRe2
1.0
3.045 0.000 0.000
0.000 3.045 0.000
0.000 0.000 5.674
Co Cr Re
1 1 2
direct
0.000 0.000 0.537 Co
0.500 0.500 0.707 Cr
0.000 0.000 0.991 Re
0.500 0.500 0.265 Re
```

Computed properties:
Formation energy ... 0.14 eV/atom
Excess energy over the best structure of this formula in the dataset ... 0.091 eV per atom
Total magnetization ... 0.1 μB/f.u.



No. 2
A plane-wave DFT calculation with GGA-PBE was carried out for AlPt2Pb after structural relaxation.

The structure in POSCAR format:
```
AlPt2Pb
1.0
4.061 -0.008 -0.002
2.037 3.514 -0.002
1.916 1.101 5.575
Pb Al Pt
1 1 2
direct
0.750 0.750 0.750 Pb
0.250 0.250 0.250 Al
0.968 0.968 0.087 Pt
0.532 0.532 0.413 Pt
```

Computed properties:
Formation energy ... -0.46 eV/atom
Total magnetization ... 0.0 μB/f.u.



No. 3
A plane-wave DFT calculation with GGA-PBE was carried out for CuGeF2 after structural relaxation.

The structure in POSCAR format:
```
CuGeF2
1.0
6.142 0.000 0.000
0.000 6.142 0.000
3.071 3.071 2.754
Ge Cu F
2 2 4
direct
0.000 0.000 0.000 Ge
0.750 0.250 0.500 Ge
0.500 0.500 0.000 Cu
0.250 0.750 0.500 Cu
0.603 0.125 0.250 F
0.147 0.625 0.250 F
0.375 0.397 0.750 F
0.875 0.853 0.750 F
```

Computed properties:
Formation energy (no corrections) ... -0.86 eV/atom
Excess energy over the best structure of this formula in the dataset ... 0.222 eV per atom
Total magnetization ... 0.0 μB/f.u.



No. 4
A plane-wave DFT calculation with GGA-PBE was carried out for HfTh2MnN5 after structural relaxation.

The structure in POSCAR format:
```
HfTh2MnN5
1.0
5.782 0.000 0.000
0.000 6.546 0.000
0.000 0.000 6.546
Hf Th Mn N
2 4 2 10
direct
0.000 0.500 0.500 Hf
0.000 0.000 0.000 Hf
0.500 0.667 0.167 Th
0.500 0.167 0.333 Th
0.500 0.833 0.667 Th
0.500 0.333 0.833 Th
0.000 0.000 0.500 Mn
0.000 0.500 0.000 Mn
0.500 0.500 0.500 N
0.500 0.000 0.000 N
0.218 0.156 0.656 N
0.218 0.844 0.344 N
0.218 0.344 0.156 N
0.218 0.656 0.844 N
0.782 0.156 0.656 N
0.782 0.656 0.844 N
0.782 0.844 0.344 N
0.782 0.344 0.156 N
```

Computed properties:
Formation energy (no corrections) ... -0.74 eV/atom
Total magnetization ... 3.6 μB/f.u.



No. 5
A plane-wave DFT calculation with GGA-PBE was carried out for Ac2LaPb after structural relaxation.

The structure in POSCAR format:
```
Ac2LaPb
1.0
3.756 0.000 0.000
1.878 3.253 0.000
1.878 1.084 12.925
Pb Ac La
1 2 1
direct
0.500 0.500 0.500 Pb
0.093 0.093 0.721 Ac
0.907 0.907 0.279 Ac
0.000 0.000 0.000 La
```

Computed properties:
Formation energy ... 0.06 eV/atom
Excess energy over the best structure of this formula in the dataset ... 0.356 eV per atom
Total magnetization ... 0.0 μB/f.u.



Number 1: raw total energy -41.1 eV per cell. Number 2: raw total energy -21.4 eV per cell. Number 3: raw total energy -31.8 eV per cell. Number 4: raw total energy -164.6 eV per cell. Number 5: raw total energy -16.6 eV per cell.